1 | First-principles (PBE-GGA) data for Li3Ti2P3O12 after structural relaxation, as listed in Alexandria.

- Density of states at the Fermi level: 0.601 states/eV/atom
- Spin magnetization: 2.00 μB/f.u.

Lattice parameters (Å, degrees): 9.0841 9.0841 9.0841 55.80 55.80 55.80
With the nearest neighbours (Å) after each atom.
Sites, in units of the cell vectors:
Li: 0.9217 0.2667 0.6665  4 O 1.99-2.18
Li: 0.6665 0.9217 0.2667  4 O 1.99-2.18
Li: 0.3335 0.0783 0.7333  4 O 1.99-2.18
Li: 0.0783 0.7333 0.3335  4 O 1.99-2.18
Li: 0.7333 0.3335 0.0783  4 O 1.99-2.18
Li: 0.2667 0.6665 0.9217  4 O 1.99-2.18
Ti: 0.8528 0.8528 0.8528  6 O 1.97-2.11
Ti: 0.6503 0.6503 0.6503  6 O 2.06-2.11
Ti: 0.1472 0.1472 0.1472  6 O 1.97-2.11
Ti: 0.3497 0.3497 0.3497  6 O 2.06-2.11
P: 0.4578 0.7514 0.0403  4 O 1.52-1.58
P: 0.9597 0.5422 0.2486  4 O 1.52-1.58
P: 0.0403 0.4578 0.7514  4 O 1.52-1.58
P: 0.2486 0.9597 0.5422  4 O 1.52-1.58
P: 0.5422 0.2486 0.9597  4 O 1.52-1.58
P: 0.7514 0.0403 0.4578  4 O 1.52-1.58
O: 0.6112 0.8073 0.9979  1 P 1.52
O: 0.5433 0.2087 0.1527  1 P 1.58
O: 0.4944 0.5369 0.1647  1 P 1.55
O: 0.3888 0.1927 0.0021  1 P 1.52
O: 0.7448 0.1248 0.8608  1 P 1.55
O: 0.2552 0.8752 0.1392  1 P 1.55
O: 0.1927 0.0021 0.3888  1 P 1.52
O: 0.2087 0.1527 0.5433  1 P 1.58
O: 0.9979 0.6112 0.8073  1 P 1.52
O: 0.5056 0.4631 0.8353  1 P 1.55
O: 0.7913 0.8473 0.4567  1 P 1.58
O: 0.8608 0.7448 0.1248  1 P 1.55
O: 0.4631 0.8353 0.5056  1 P 1.55
O: 0.4567 0.7913 0.8473  1 P 1.58
O: 0.1527 0.5433 0.2087  1 P 1.58
O: 0.1392 0.2552 0.8752  1 P 1.55
O: 0.8473 0.4567 0.7913  1 P 1.58
O: 0.0021 0.3888 0.1927  1 P 1.52
O: 0.5369 0.1647 0.4944  1 P 1.55
O: 0.1248 0.8608 0.7448  1 P 1.55
O: 0.8752 0.1392 0.2552  1 P 1.55
O: 0.1647 0.4944 0.5369  1 P 1.55
O: 0.8073 0.9979 0.6112  1 P 1.52
O: 0.8353 0.5056 0.4631  1 P 1.55

2 | First-principles (PBE-GGA) data for Li3Ti2P3O12 after structural relaxation, as listed in Alexandria.

- Density of states at the Fermi level: 0.164 states/eV/atom
- Spin magnetization: 2.00 μB/f.u.

Lattice parameters (Å, degrees): 10.3143 10.3143 10.3143 109.47 109.47 109.47
With the nearest neighbours (Å) after each atom.
Sites, in units of the cell vectors:
Li: 0.7500 0.1250 0.3750  8 O 2.34-2.51
Li: 0.8750 0.6250 0.2500  8 O 2.34-2.51
Li: 0.3750 0.1250 0.2500  8 O 2.34-2.51
Li: 0.2500 0.3750 0.1250  8 O 2.34-2.51
Li: 0.8750 0.7500 0.6250  8 O 2.34-2.51
Li: 0.3750 0.7500 0.1250  8 O 2.34-2.51
Li: 0.6250 0.2500 0.8750  8 O 2.34-2.51
Li: 0.1250 0.2500 0.3750  8 O 2.34-2.51
Li: 0.7500 0.6250 0.8750  8 O 2.34-2.51
Li: 0.1250 0.3750 0.7500  8 O 2.34-2.51
Li: 0.6250 0.8750 0.7500  8 O 2.34-2.51
Li: 0.2500 0.8750 0.6250  8 O 2.34-2.51
Ti: 0.5000 0.0000 0.0000  6 O 2.04
Ti: 0.0000 0.0000 0.0000  6 O 2.04
Ti: 0.5000 0.0000 0.5000  6 O 2.04
Ti: 0.5000 0.5000 0.0000  6 O 2.04
Ti: 0.5000 0.5000 0.5000  6 O 2.04
Ti: 0.0000 0.5000 0.0000  6 O 2.04
Ti: 0.0000 0.0000 0.5000  6 O 2.04
Ti: 0.0000 0.5000 0.5000  6 O 2.04
P: 0.8750 0.2500 0.1250  4 O 1.56
P: 0.6250 0.3750 0.2500  4 O 1.56
P: 0.8750 0.1250 0.7500  4 O 1.56
P: 0.7500 0.8750 0.1250  4 O 1.56
P: 0.7500 0.3750 0.6250  4 O 1.56
P: 0.6250 0.7500 0.3750  4 O 1.56
P: 0.3750 0.2500 0.6250  4 O 1.56
P: 0.2500 0.6250 0.3750  4 O 1.56
P: 0.2500 0.1250 0.8750  4 O 1.56
P: 0.1250 0.8750 0.2500  4 O 1.56
P: 0.3750 0.6250 0.7500  4 O 1.56
P: 0.1250 0.7500 0.8750  4 O 1.56
O: 0.8876 0.0036 0.2977  1 P 1.56
O: 0.8840 0.3876 0.0899  1 P 1.56
O: 0.9101 0.2941 0.2977  1 P 1.56
O: 0.9101 0.1160 0.6124  1 P 1.56
O: 0.9964 0.7023 0.1124  1 P 1.56
O: 0.5899 0.2023 0.2059  1 P 1.56
O: 0.6160 0.4101 0.1124  1 P 1.56
O: 0.2059 0.1160 0.0036  1 P 1.56
O: 0.7059 0.7023 0.0899  1 P 1.56
O: 0.8876 0.3840 0.5899  1 P 1.56
O: 0.6124 0.2023 0.4964  1 P 1.56
O: 0.7023 0.0899 0.7059  1 P 1.56
O: 0.1160 0.0036 0.2059  1 P 1.56
O: 0.7977 0.5036 0.3876  1 P 1.56
O: 0.4964 0.3840 0.2941  1 P 1.56
O: 0.4964 0.6124 0.2023  1 P 1.56
O: 0.4101 0.1124 0.6160  1 P 1.56
O: 0.0036 0.2059 0.1160  1 P 1.56
O: 0.7023 0.1124 0.9964  1 P 1.56
O: 0.3840 0.2941 0.4964  1 P 1.56
O: 0.7977 0.7941 0.4101  1 P 1.56
O: 0.7059 0.5036 0.6160  1 P 1.56
O: 0.6124 0.9101 0.1160  1 P 1.56
O: 0.7941 0.4101 0.7977  1 P 1.56
O: 0.3876 0.0899 0.8840  1 P 1.56
O: 0.2059 0.5899 0.2023  1 P 1.56
O: 0.2941 0.4964 0.3840  1 P 1.56
O: 0.2023 0.2059 0.5899  1 P 1.56
O: 0.2977 0.8876 0.0036  1 P 1.56
O: 0.6160 0.7059 0.5036  1 P 1.56
O: 0.5899 0.8876 0.3840  1 P 1.56
O: 0.9964 0.7941 0.8840  1 P 1.56
O: 0.5036 0.3876 0.7977  1 P 1.56
O: 0.5036 0.6160 0.7059  1 P 1.56
O: 0.8840 0.9964 0.7941  1 P 1.56
O: 0.2977 0.9101 0.2941  1 P 1.56
O: 0.2023 0.4964 0.6124  1 P 1.56
O: 0.1124 0.6160 0.4101  1 P 1.56
O: 0.3876 0.7977 0.5036  1 P 1.56
O: 0.2941 0.2977 0.9101  1 P 1.56
O: 0.7941 0.8840 0.9964  1 P 1.56
O: 0.3840 0.5899 0.8876  1 P 1.56
O: 0.0899 0.8840 0.3876  1 P 1.56
O: 0.4101 0.7977 0.7941  1 P 1.56
O: 0.0036 0.2977 0.8876  1 P 1.56
O: 0.0899 0.7059 0.7023  1 P 1.56
O: 0.1160 0.6124 0.9101  1 P 1.56
O: 0.1124 0.9964 0.7023  1 P 1.56

Among the structures above, stability is greatest for 1.